Below is PaMnTcO6 after structural relaxation, with properties calculated at the PBE with a Hubbard U level.

Output
crystal system	trigonal
calculated total energy	-8.55	eV per atom

a = 5.4947 Å, b = 5.4947 Å, c = 9.0649 Å
α = 90.00°, β = 90.00°, γ = 120.00°
Space group P-31c (No. 163)
Inequivalent atoms, fractional coordinates:
Pa 0.3333 0.6667 0.2500 x2
Mn 0.0000 0.0000 0.0000 x2
Tc 0.3333 0.6667 0.7500 x2
O 0.0261 0.3607 0.6326 x12